# 1
Below is a relaxed NdCd2Ag crystal, with properties calculated at the PBE level.

a = 5.1296 Å, b = 7.1758 Å, c = 5.1039 Å
α = 90.00°, β = 90.00°, γ = 90.00°
Last column: nearest neighbours and their distance in Å.
Fractional coordinates of all 8 atoms:
Nd1 0.2500 0.2500 0.2046  8 Cd 3.13-3.15, 2 Ag 3.35
Nd2 0.7500 0.7500 0.7954  8 Cd 3.13-3.15, 2 Ag 3.35
Cd1 0.2500 0.5039 0.7051  4 Ag 3.05-3.17, 4 Nd 3.13-3.15, 2 Cd 3.31
Cd2 0.2500 0.9961 0.7051  4 Ag 3.05-3.17, 4 Nd 3.13-3.15, 2 Cd 3.31
Cd3 0.7500 0.0039 0.2949  4 Ag 3.05-3.17, 4 Nd 3.13-3.15, 2 Cd 3.31
Cd4 0.7500 0.4961 0.2949  4 Ag 3.05-3.17, 4 Nd 3.13-3.15, 2 Cd 3.31
Ag1 0.2500 0.7500 0.2178  8 Cd 3.05-3.17, 2 Nd 3.35
Ag2 0.7500 0.2500 0.7822  8 Cd 3.05-3.17, 2 Nd 3.35

The value obtained for the total magnetization is 0.00 Bohr magnetons per cell. As for the formation energy: -259 meV/atom. For the calculated volume, the calculation gives 187.9 Å³ per cell.


# 2
Below is a relaxed BeHgSb2 crystal, with properties calculated at the PBE level.

a = 6.5908 Å, b = 6.5908 Å, c = 4.6830 Å
α = 110.39°, β = 110.39°, γ = 34.39°
Last column: nearest neighbours and their distance in Å.
Fractional coordinates of all 4 atoms:
Be1 0.0000 0.0000 0.0000  4 Sb 2.51-2.53, 1 Hg 2.53
Hg1 0.8030 0.8030 0.0260  1 Be 2.53
Sb1 0.4474 0.4474 0.6360  2 Be 2.51
Sb2 0.6097 0.6097 0.3131  2 Be 2.53

The excess energy over the best structure of this formula in the dataset is 0.18 eV/f.u. The value obtained for the total magnetization is 0.00 Bohr magnetons per cell. For the calculated volume, the calculation gives 107.0 Å³ per cell.


Copy entry 2 word for word.
Below is a relaxed BeHgSb2 crystal, with properties calculated at the PBE level.

a = 6.5908 Å, b = 6.5908 Å, c = 4.6830 Å
α = 110.39°, β = 110.39°, γ = 34.39°
Last column: nearest neighbours and their distance in Å.
Fractional coordinates of all 4 atoms:
Be1 0.0000 0.0000 0.0000  4 Sb 2.51-2.53, 1 Hg 2.53
Hg1 0.8030 0.8030 0.0260  1 Be 2.53
Sb1 0.4474 0.4474 0.6360  2 Be 2.51
Sb2 0.6097 0.6097 0.3131  2 Be 2.53

The excess energy over the best structure of this formula in the dataset is 0.18 eV/f.u. The value obtained for the total magnetization is 0.00 Bohr magnetons per cell. For the calculated volume, the calculation gives 107.0 Å³ per cell.